This record from Alexandria via LeMat-Bulk describes an optimized crystal structure of Pa2TaGe2. The functional is PBE.

Summary:
The final energy comes out at -83.97 eV per cell. The value obtained for the volume is 213.3 Å³ per cell. The crystal system is tetragonal.

Lattice parameters (Å, degrees): 7.0441 7.0441 4.2979 90.00 90.00 90.00
Space group P4/mbm (No. 127)
Inequivalent atoms, fractional coordinates:
Pa 0.1770 0.3230 0.0000 x4
Ta 0.0000 0.0000 0.5000 x2
Ge 0.1295 0.6295 0.5000 x4